# 1
DFT (PBE) results for a relaxed structure of Cd3Ag. Values from VASP.

Properties
E ... -1.400 eV per atom
M_tot ... 0.0 μB per formula unit
Energy relative to the elements ... -0.001 eV/atom

```
&SYSTEM
  ibrav = 0, nat = 4, ntyp = 2
/
ATOMIC_SPECIES
Cd 112.41 Cd.upf
Ag 107.87 Ag.upf
ATOMIC_POSITIONS crystal
Cd 0.000 0.500 0.500
Cd 0.500 0.000 0.500
Ag 0.000 0.000 0.000
Cd 0.500 0.500 0.000
CELL_PARAMETERS angstrom
-0.398 -5.371 0.086
3.725 1.552 3.568
-2.134 0.192 2.144
```



# 2
DFT (PBE) results for a relaxed structure of Hf3NbHg. Values from VASP.

Properties
E ... -6.604 eV per atom
M_tot ... 2.7 μB per formula unit
Excess energy over the best structure of this formula in the dataset ... 456 meV per atom
Energy relative to the elements ... 1.442 eV/atom

```
&SYSTEM
  ibrav = 0, nat = 5, ntyp = 3
/
ATOMIC_SPECIES
Hf 178.49 Hf.upf
Nb 92.91 Nb.upf
Hg 200.59 Hg.upf
ATOMIC_POSITIONS crystal
Hf 0.500 0.000 0.000
Hf 0.000 0.500 0.000
Nb 0.500 0.500 0.500
Hg 0.000 0.000 0.000
Hf 0.000 0.000 0.500
CELL_PARAMETERS angstrom
-4.210 -1.323 -2.640
1.784 -4.803 -0.438
-2.354 -1.275 4.391
```